The following is a SCAN calculation of AgAu5 at its PBEsol-relaxed geometry, from the Alexandria database.

Results
ΔE_f: -0.041 eV/atom
E_tot: -62.900 eV per atom
Energy above the most stable polymorph in this dataset: 0 meV per atom
Density: 17.97 g cm⁻³

Cell: 6.398 6.398 4.111 Å, 90.00 90.00 143.14°
Fractional positions:
Ag (0.000, 0.000, 0.000)
Au (0.166, 0.834, 0.500)
Au (0.334, 0.666, 0.000)
Au (0.500, 0.500, 0.500)
Au (0.666, 0.334, 0.000)
Au (0.834, 0.166, 0.500)